Material: CsLa2CuSe3S
Method: DFT, PBE-GGA
State: relaxed

The structure in POSCAR format:
```
CsLa2CuSe3S
1.0
2.1545 -7.5360 0.0000
2.1545 7.5360 0.0000
0.0000 0.0000 14.6788
La Se S Cs Cu
4 6 2 2 2
Direct
0.6345 0.3655 0.9360
0.6345 0.3655 0.5640
0.3655 0.6345 0.4360
0.3655 0.6345 0.0640
0.0000 0.0000 0.0000
0.2608 0.7392 0.6129
0.0000 0.0000 0.5000
0.2608 0.7392 0.8871
0.7392 0.2608 0.1129
0.7392 0.2608 0.3871
0.4140 0.5860 0.2500
0.5860 0.4140 0.7500
0.9019 0.0981 0.7500
0.0981 0.9019 0.2500
0.1621 0.8379 0.7500
0.8379 0.1621 0.2500
```

## Properties
For the calculated density, the calculation gives 5.18 g cm⁻³. The calculation puts the raw total energy at -0.1929 Ha/atom. The value obtained for the volume is 238.3 Å³/f.u.

Material: Na2Pd2Se3
Method: DFT, PBE-GGA
State: relaxed

The structure in POSCAR format:
```
Na2Pd2Se3
1.0
-4.8373 1.1725 5.0212
2.2827 6.1813 -2.5627
-2.8925 -3.7914 -5.2197
Na Se Pd
4 6 4
Direct
0.1706 0.1706 0.1706
0.0000 0.3294 0.5000
0.5000 0.0000 0.3294
0.3294 0.5000 0.0000
0.1047 0.7500 0.8547
0.8547 0.1047 0.7500
0.3953 0.2500 0.6453
0.2500 0.6453 0.3953
0.7500 0.8547 0.1047
0.6453 0.3953 0.2500
0.5000 0.0000 0.8197
0.8197 0.5000 0.0000
0.0000 0.8197 0.5000
0.6803 0.6803 0.6803
```

## Properties
For the calculated density, the calculation gives 6.05 g cm⁻³. The calculation puts the raw total energy at -0.1403 Ha/atom. The value obtained for the volume is 136.0 Å³/f.u.

Material: BaAg3Pt2
Method: DFT, PBE-GGA
State: relaxed

The structure in POSCAR format:
```
BaAg3Pt2
1.0
-0.3789 -5.4661 1.6674
-0.7965 1.3774 -5.5019
4.4211 -0.5432 -0.7760
Pt Ag Ba
2 3 1
Direct
0.3333 0.6667 0.0000
0.6667 0.3333 0.0000
0.0000 0.5000 0.5000
0.5000 0.5000 0.5000
0.5000 0.0000 0.5000
0.0000 0.0000 0.0000
```

## Properties
For the calculated density, the calculation gives 11.00 g cm⁻³. The calculation puts the raw total energy at -0.1477 Ha/atom. The value obtained for the volume is 128.4 Å³/f.u.